Entry from the Alexandria database: crystalline BaLaPu2O8 at its relaxed geometry (GGA-PBE).

a b c (Å): 5.6619 5.6619 6.6965
angles (deg): 115.01 115.01 90.00
With the nearest neighbours (Å) after each atom.
Fractional positions:
Ba 0.7500 0.2500 0.5000  8 O 2.60
La 0.0000 0.0000 0.0000  8 O 2.49
Pu 0.5000 0.5000 0.0000  8 O 2.30-2.31
Pu 0.2500 0.7500 0.5000  8 O 2.27-2.28
O 0.8820 0.8329 0.2429  2 Pu 2.28-2.30, 1 O 2.40, 1 La 2.49
O 0.3609 0.4100 0.2429  2 Pu 2.28-2.30, 1 O 2.40, 1 La 2.49
O 0.5899 0.6395 0.7565  2 Pu 2.27-2.31, 1 O 2.40, 1 La 2.49
O 0.1665 0.1169 0.7565  2 Pu 2.27-2.31, 1 O 2.40, 1 La 2.49
O 0.8831 0.4101 0.2435  2 Pu 2.27-2.31, 1 O 2.40, 1 La 2.49
O 0.3605 0.8335 0.2435  2 Pu 2.27-2.31, 1 O 2.40, 1 La 2.49
O 0.1671 0.6391 0.7571  2 Pu 2.28-2.30, 1 O 2.40, 1 La 2.49
O 0.5900 0.1180 0.7571  2 Pu 2.28-2.30, 1 O 2.40, 1 La 2.49

Calculated values
symmetry = I-4m2, No. 119
DFT total energy = -108.2 eV per cell
total magnetic moment = 5.000 Bohr magnetons per cell


Entry from the Alexandria database: crystalline Er4As2SeS at its relaxed geometry (GGA-PBE).

a b c (Å): 4.0304 6.9491 6.9838
angles (deg): 70.37 90.00 90.00
With the nearest neighbours (Å) after each atom.
Fractional positions:
Er 0.0000 0.7528 0.7546  3 As 2.80-2.85, 2 S 2.84, 1 Se 2.89
Er 0.0000 0.2472 0.2454  3 As 2.80-2.85, 2 S 2.84, 1 Se 2.89
Er 0.5000 0.7571 0.2420  3 As 2.80-2.85, 1 S 2.84, 2 Se 2.89
Er 0.5000 0.2429 0.7580  3 As 2.80-2.85, 1 S 2.84, 2 Se 2.89
As 0.0000 0.0000 0.0000  6 Er 2.80
As 0.5000 0.0000 0.5000  6 Er 2.85
Se 0.0000 0.5000 0.5000  6 Er 2.89
S 0.5000 0.5000 0.0000  6 Er 2.84

Calculated values
symmetry = P2/m, No. 10
DFT total energy = -48.9 eV per cell
total magnetic moment = 0.000 Bohr magnetons per cell


Among the records above, which one has the highest DFT total energy? Er4As2SeS


The lowest DFT total energy belongs to which entry? BaLaPu2O8


Which value of total magnetic moment does entry 1 give? 5.000 Bohr magnetons per cell